Entry 1:
YMgTlCu | PBE-GGA | relaxed

abc: 7.0433 7.0433 7.0433
angles: 90.00 90.00 90.00
With the nearest neighbours (Å) after each atom.
Element x y z (fractional)
Y 0.0000 0.0000 0.0000  4 Tl 3.05, 4 Cu 3.05
Y 0.0000 0.5000 0.5000  4 Tl 3.05, 4 Cu 3.05
Y 0.5000 0.0000 0.5000  4 Tl 3.05, 4 Cu 3.05
Y 0.5000 0.5000 0.0000  4 Tl 3.05, 4 Cu 3.05
Mg 0.0000 0.0000 0.5000  4 Tl 3.05, 4 Cu 3.05
Mg 0.0000 0.5000 0.0000  4 Tl 3.05, 4 Cu 3.05
Mg 0.5000 0.0000 0.0000  4 Tl 3.05, 4 Cu 3.05
Mg 0.5000 0.5000 0.5000  4 Tl 3.05, 4 Cu 3.05
Tl 0.2500 0.2500 0.7500  4 Mg 3.05, 4 Y 3.05
Tl 0.2500 0.7500 0.2500  4 Mg 3.05, 4 Y 3.05
Tl 0.7500 0.2500 0.2500  4 Mg 3.05, 4 Y 3.05
Tl 0.7500 0.7500 0.7500  4 Mg 3.05, 4 Y 3.05
Cu 0.2500 0.2500 0.2500  4 Mg 3.05, 4 Y 3.05
Cu 0.2500 0.7500 0.7500  4 Mg 3.05, 4 Y 3.05
Cu 0.7500 0.2500 0.7500  4 Mg 3.05, 4 Y 3.05
Cu 0.7500 0.7500 0.2500  4 Mg 3.05, 4 Y 3.05

Values from the calculation:
volume	87.35	Å³/f.u.
ΔE_f	-206	meV/atom
symmetry	F-43m (216)



Entry 2:
RbAc2P | PBE-GGA | relaxed

abc: 4.2821 4.2821 36.6934
angles: 90.00 90.00 120.00
With the nearest neighbours (Å) after each atom.
Element x y z (fractional)
Rb 0.0000 0.0000 0.0000  6 Rb 4.28, 2 Ac 4.40
Rb 0.3333 0.6667 0.6667  6 Rb 4.28, 2 Ac 4.40
Rb 0.6667 0.3333 0.3333  6 Rb 4.28, 2 Ac 4.40
Ac 0.0000 0.0000 0.1198  3 P 3.01
Ac 0.0000 0.0000 0.8802  3 P 3.01
Ac 0.3333 0.6667 0.5469  3 P 3.01
Ac 0.3333 0.6667 0.7865  3 P 3.01
Ac 0.6667 0.3333 0.2135  3 P 3.01
Ac 0.6667 0.3333 0.4531  3 P 3.01
P 0.0000 0.0000 0.5000  6 Ac 3.01
P 0.3333 0.6667 0.1667  6 Ac 3.01
P 0.6667 0.3333 0.8333  6 Ac 3.01

Values from the calculation:
volume	194.23	Å³/f.u.
ΔE_f	-542	meV/atom
symmetry	R-3m (166)



Entry 3:
Ca2TiVAs | PBE-GGA | relaxed

abc: 5.5010 5.5010 4.8700
angles: 90.00 90.00 90.00
With the nearest neighbours (Å) after each atom.
Element x y z (fractional)
Ca 0.0000 0.5000 0.0000  2 As 2.75
Ca 0.5000 0.0000 0.0000  2 As 2.75
Ti 0.0000 0.0000 0.5000  2 As 2.44
V 0.5000 0.5000 0.5000  8 Ca 3.67, 4 Ti 3.89
As 0.0000 0.0000 0.0000  2 Ti 2.44

Values from the calculation:
volume	147.37	Å³/f.u.
ΔE_f	582	meV/atom
symmetry	P4/mmm (123)



Entry 4:
Pm2Nd5Ho | PBE-GGA | relaxed

abc: 7.3047 14.6340 5.1610
angles: 90.00 90.00 90.00
With the nearest neighbours (Å) after each atom.
Element x y z (fractional)
Pm 0.2494 0.1239 0.0000  10 Nd 3.63-3.69, 2 Ho 3.64
Pm 0.2506 0.6239 0.0000  10 Nd 3.63-3.69, 2 Ho 3.64
Pm 0.7494 0.3761 0.0000  10 Nd 3.63-3.69, 2 Ho 3.64
Pm 0.7506 0.8761 0.0000  10 Nd 3.63-3.69, 2 Ho 3.64
Nd 0.9999 0.2486 0.5000  1 Ho 3.64, 7 Nd 3.65-3.68, 4 Pm 3.65-3.67
Nd 0.0000 0.5000 0.5000  4 Pm 3.65, 6 Nd 3.65-3.68, 2 Ho 3.65
Nd 0.0001 0.7514 0.5000  1 Ho 3.64, 7 Nd 3.65-3.68, 4 Pm 3.65-3.67
Nd 0.2494 0.8760 0.0000  4 Pm 3.63-3.69, 2 Ho 3.64, 6 Nd 3.65-3.67
Nd 0.2506 0.3760 0.0000  4 Pm 3.63-3.69, 2 Ho 3.64, 6 Nd 3.65-3.67
Nd 0.5000 0.0000 0.5000  4 Pm 3.65, 6 Nd 3.65-3.68, 2 Ho 3.65
Nd 0.4999 0.2514 0.5000  1 Ho 3.64, 7 Nd 3.65-3.68, 4 Pm 3.65-3.67
Nd 0.5001 0.7486 0.5000  1 Ho 3.64, 7 Nd 3.65-3.68, 4 Pm 3.65-3.67
Nd 0.7494 0.6240 0.0000  4 Pm 3.63-3.69, 2 Ho 3.64, 6 Nd 3.65-3.67
Nd 0.7506 0.1240 0.0000  4 Pm 3.63-3.69, 2 Ho 3.64, 6 Nd 3.65-3.67
Ho 0.0000 0.0000 0.5000  8 Nd 3.64-3.65, 4 Pm 3.64
Ho 0.5000 0.5000 0.5000  8 Nd 3.64-3.65, 4 Pm 3.64

Values from the calculation:
volume	275.85	Å³/f.u.
ΔE_f	14	meV/atom
symmetry	Pbam (55)